(1)
First-principles (PBE-GGA) data for crystalline BeSbBr at its relaxed geometry, as listed in the Alexandria database.

Spin magnetization in μB per formula unit: 0.00
Uncorrected energy in eV per atom: -3.39
Fermi-level density of states in states/eV per atom: 0.18
Formation energy (no corrections) in eV/atom: -0.215
Offset from the most stable computed form in meV per atom: 0

a b c (Å): 3.3557 7.7712 8.1634
angles (deg): 126.92 101.86 90.00
Atoms (fractional coordinates):
Sb1 0.3983 0.2886 0.7965
Sb2 0.6017 0.7114 0.2035
Be1 0.3280 0.4863 0.6561
Be2 0.6720 0.5137 0.3439
Br1 0.8593 0.7156 0.7186
Br2 0.1407 0.2844 0.2814

(2)
First-principles (PBE-GGA) data for crystalline BeSbBr at its relaxed geometry, as listed in the Alexandria database.

Spin magnetization in μB per formula unit: 0.00
Uncorrected energy in eV per atom: -2.33
Fermi-level density of states in states/eV per atom: 1.59
Formation energy (no corrections) in eV/atom: 0.842
Offset from the most stable computed form in meV per atom: 1057

a b c (Å): 4.8649 4.8649 4.8649
angles (deg): 60.00 60.00 60.00
Atoms (fractional coordinates):
Sb1 0.7500 0.7500 0.7500
Br1 0.5000 0.5000 0.5000
Be1 0.0000 0.0000 0.0000

(3)
First-principles (PBE-GGA) data for crystalline BeSbBr at its relaxed geometry, as listed in the Alexandria database.

Spin magnetization in μB per formula unit: 0.00
Uncorrected energy in eV per atom: -2.94
Fermi-level density of states in states/eV per atom: 0.47
Formation energy (no corrections) in eV/atom: 0.236
Offset from the most stable computed form in meV per atom: 451

a b c (Å): 4.1688 4.1688 5.0327
angles (deg): 90.00 90.00 120.00
Atoms (fractional coordinates):
Sb1 0.3333 0.6667 0.8334
Br1 0.6667 0.3333 0.3336
Be1 0.0000 0.0000 0.8331